## Tl2TcF (PBE)

Data for a relaxed structure of Tl2TcF.

The structure in CIF format:
```
data_Tl2TcF
_cell_length_a 7.046
_cell_length_b 7.046
_cell_length_c 6.745
_cell_angle_alpha 90.00
_cell_angle_beta 90.00
_cell_angle_gamma 90.00
_symmetry_space_group_name_H-M 'I -4 2 d'
_symmetry_Int_Tables_number 122
_symmetry_space_group_name_Hall 'I -4 2bw'
loop_
_atom_site_label
_atom_site_fract_x
_atom_site_fract_y
_atom_site_fract_z
Tl1 0.221 0.250 0.125
Tc1 0.000 0.000 0.500
F1 0.000 0.000 0.000
```

Uncorrected formation energy in meV/atom: 101
Volume in Å³/cell: 334.86
Magnetization in μB/f.u.: 1.79
DOS(E_F) in states/eV per cell: 7.70